# 1
# KBe2Sn2

An optimized crystal structure of KBe2Sn2 (PBE-GGA, Alexandria via LeMat-Bulk).

Calculated values
- raw total energy (eV/atom) = -3.145
- magnetization (μB per cell) = 0.00
- space group = No. 139
- DOS(E_F) (states/eV/cell) = 1.0

a = 6.492 Å, b = 6.492 Å, c = 6.492 Å
α = 140.64°, β = 140.64°, γ = 56.88°
Sites, in units of the cell vectors:
K: 0.000 0.000 0.000
Be: 0.250 0.750 0.500
Be: 0.750 0.250 0.500
Sn: 0.369 0.369 0.000
Sn: 0.631 0.631 0.000



# 2
# Zr

An optimized crystal structure of Zr (PBE-GGA, Alexandria via LeMat-Bulk).

Calculated values
- raw total energy (eV/atom) = -7.698
- magnetization (μB per cell) = 0.00
- distance to the lowest polymorph of the same formula (meV/atom) = 850
- space group = No. 221
- DOS(E_F) (states/eV/cell) = 1.1

a = 2.912 Å, b = 2.912 Å, c = 2.912 Å
α = 90.00°, β = 90.00°, γ = 90.00°
Sites, in units of the cell vectors:
Zr: 0.000 0.000 0.000



# 3
# Pr2NdAg2

An optimized crystal structure of Pr2NdAg2 (PBE-GGA, Alexandria via LeMat-Bulk).

Calculated values
- raw total energy (eV/atom) = -4.075
- magnetization (μB per cell) = 0.00
- distance to the lowest polymorph of the same formula (meV/atom) = 110
- space group = No. 11
- DOS(E_F) (states/eV/cell) = 13.3

a = 5.903 Å, b = 4.821 Å, c = 11.175 Å
α = 90.00°, β = 98.15°, γ = 90.00°
Sites, in units of the cell vectors:
Pr: 0.104 0.250 0.380
Pr: 0.260 0.250 0.046
Pr: 0.740 0.750 0.954
Pr: 0.896 0.750 0.620
Nd: 0.414 0.250 0.718
Nd: 0.586 0.750 0.282
Ag: 0.219 0.750 0.862
Ag: 0.371 0.750 0.528
Ag: 0.629 0.250 0.472
Ag: 0.781 0.250 0.138



# 4
# LaPmHo2In4

An optimized crystal structure of LaPmHo2In4 (PBE-GGA, Alexandria via LeMat-Bulk).

Calculated values
- raw total energy (eV/atom) = -4.200
- magnetization (μB per cell) = 0.00
- space group = No. 166
- DOS(E_F) (states/eV/cell) = 3.9

a = 9.388 Å, b = 9.388 Å, c = 9.388 Å
α = 33.47°, β = 33.47°, γ = 33.47°
Sites, in units of the cell vectors:
La: 0.000 0.000 0.000
Pm: 0.500 0.500 0.500
Ho: 0.250 0.250 0.250
Ho: 0.750 0.750 0.750
In: 0.126 0.126 0.126
In: 0.376 0.376 0.376
In: 0.624 0.624 0.624
In: 0.874 0.874 0.874



# 5
# FeCu2Tc

An optimized crystal structure of FeCu2Tc (PBE-GGA, Alexandria via LeMat-Bulk).

Calculated values
- raw total energy (eV/atom) = -6.545
- magnetization (μB per cell) = 2.55
- distance to the lowest polymorph of the same formula (meV/atom) = 60
- space group = No. 6
- DOS(E_F) (states/eV/cell) = 3.4

a = 2.496 Å, b = 4.219 Å, c = 4.839 Å
α = 90.00°, β = 95.01°, γ = 90.00°
Sites, in units of the cell vectors:
Fe: 0.000 0.000 0.000
Cu: 0.354 0.500 0.764
Cu: 0.393 0.000 0.506
Tc: 0.807 0.500 0.263



# 6
# Ge7Ir4Rh

An optimized crystal structure of Ge7Ir4Rh (PBE-GGA, Alexandria via LeMat-Bulk).

Calculated values
- raw total energy (eV/atom) = -6.444
- magnetization (μB per cell) = 0.00
- space group = No. 8
- DOS(E_F) (states/eV/cell) = 5.3

a = 6.680 Å, b = 6.680 Å, c = 10.660 Å
α = 101.48°, β = 101.48°, γ = 25.80°
Sites, in units of the cell vectors:
Ge: 0.000 0.000 0.000
Ge: 0.103 0.103 0.362
Ge: 0.267 0.267 0.891
Ge: 0.422 0.422 0.414
Ge: 0.533 0.533 0.775
Ge: 0.712 0.712 0.599
Ge: 0.820 0.820 0.173
Ir: 0.044 0.044 0.582
Ir: 0.486 0.486 0.192
Ir: 0.762 0.762 0.383
Ir: 0.870 0.870 0.780
Rh: 0.661 0.661 0.995



# 7
# La2BiP

An optimized crystal structure of La2BiP (PBE-GGA, Alexandria via LeMat-Bulk).

Calculated values
- raw total energy (eV/atom) = -5.661
- magnetization (μB per cell) = 0.00
- space group = No. 225
- DOS(E_F) (states/eV/cell) = 2.3

a = 5.467 Å, b = 5.467 Å, c = 5.467 Å
α = 60.00°, β = 60.00°, γ = 60.00°
Sites, in units of the cell vectors:
La: 0.250 0.250 0.250
La: 0.750 0.750 0.750
Bi: 0.000 0.000 0.000
P: 0.500 0.500 0.500



# 8
# K2TlHg2Se4

An optimized crystal structure of K2TlHg2Se4 (PBE-GGA, Alexandria via LeMat-Bulk).

Calculated values
- raw total energy (eV/atom) = -2.678
- magnetization (μB per cell) = 0.00
- space group = No. 12
- ΔE_f (raw) (eV per formula unit) = -5.00
- DOS(E_F) (states/eV/cell) = 2.6

a = 9.061 Å, b = 9.061 Å, c = 7.632 Å
α = 110.40°, β = 110.40°, γ = 27.96°
Sites, in units of the cell vectors:
K: 0.131 0.131 0.047
K: 0.869 0.869 0.953
Tl: 0.000 0.000 0.500
Hg: 0.338 0.338 0.516
Hg: 0.662 0.662 0.484
Se: 0.217 0.217 0.704
Se: 0.485 0.485 0.789
Se: 0.515 0.515 0.211
Se: 0.783 0.783 0.296



Look up the DOS(E_F) of the second one. 1.1 states/eV/cell